HoV6Ge6 after structural relaxation. Source: Alexandria via LeMat-Bulk, functional GGA-PBE.

**Energy of formation**: -0.435 eV per atom

a = 5.2446 Å, b = 6.7380 Å, c = 6.7380 Å
α = 77.75°, β = 67.10°, γ = 67.10°
Last column: nearest neighbours and their distance in Å.
Fractional coordinates of all 13 atoms:
Ge 0.3352 0.1648 0.1648  6 V 2.61-2.62
Ge 0.3334 0.6666 0.6666  6 V 2.58-2.60
Ge 0.0000 0.6580 0.3420  1 Ge 2.67, 6 V 2.73-2.74, 1 Ho 2.89
Ge 0.0000 0.3420 0.6580  1 Ge 2.67, 6 V 2.73-2.74, 1 Ho 2.89
Ge 0.6648 0.8352 0.8352  6 V 2.61-2.62
Ge 0.6666 0.3334 0.3334  6 V 2.58-2.60
V 0.0000 0.0000 0.5000  6 Ge 2.60-2.74, 4 V 2.62
V 0.5000 0.7463 0.2537  6 Ge 2.58-2.73, 4 V 2.62
V 0.5000 0.5000 0.0000  6 Ge 2.60-2.74, 4 V 2.62
V 0.5000 0.2537 0.7463  6 Ge 2.58-2.73, 4 V 2.62
V 0.5000 0.0000 0.5000  6 Ge 2.60-2.74, 4 V 2.62
V 0.0000 0.5000 0.0000  6 Ge 2.60-2.74, 4 V 2.62
Ho 0.0000 0.0000 0.0000  8 Ge 2.89-3.03